Computed, not measured: a geometry-optimized Ce2ScC2I2 structure at the PBE-GGA level of DFT.

Calculated values
E_form (uncorrected) = -0.6910 eV per atom
crystal system = tetragonal
N(E_F) = 6.804 states/eV per cell
V = 186.1 Å³/f.u.
E_tot = -6.369 eV/atom

a b c (Å): 10.305 10.305 10.305
angles (deg): 155.63 155.63 34.73
Positions (direct):
1 Ce 0.074 0.074 0.000
2 Ce 0.926 0.926 0.000
3 Sc 0.500 0.500 0.000
4 C 0.000 0.500 0.500
5 C 0.500 0.000 0.500
6 I 0.339 0.339 0.000
7 I 0.661 0.661 0.000